(1)
A plane-wave DFT calculation with PBE was carried out for a geometry-optimized Pr3Y2Tm6Sc structure.

a b c (Å): 6.146 6.146 11.687
angles (deg): 95.03 95.03 119.98
Fractional positions:
Pr  0.167  0.833  0.500
Pr  0.833  0.167  0.500
Pr  0.500  0.500  0.500
Y  0.334  0.666  0.000
Y  0.666  0.334  0.000
Tm  0.919  0.589  0.756
Tm  0.750  0.750  0.244
Tm  0.081  0.411  0.244
Tm  0.589  0.919  0.756
Tm  0.250  0.250  0.756
Tm  0.411  0.081  0.244
Sc  0.000  0.000  0.000

Summary:
For the energy of formation, the calculation gives 0.0369 eV per atom. The final energy is -0.367 Ry per atom. As for the symmetry: No. 12.

=====

(2)
A plane-wave DFT calculation with PBE was carried out for a geometry-optimized Sm4ErHg structure.

a b c (Å): 6.434 9.096 8.320
angles (deg): 113.34 100.02 112.90
Fractional positions:
Sm  0.043  0.168  0.768
Sm  0.759  0.712  0.622
Sm  0.224  0.600  0.768
Sm  0.363  0.910  0.622
Sm  0.637  0.090  0.378
Sm  0.776  0.400  0.232
Sm  0.241  0.288  0.378
Sm  0.957  0.832  0.232
Er  0.343  0.593  0.185
Er  0.657  0.407  0.815
Hg  0.251  0.001  0.002
Hg  0.749  0.999  0.998

Summary:
For the excess energy over the best structure of this formula in the dataset, the calculation gives 97 meV per atom. For the energy of formation, the calculation gives -0.0468 eV per atom. The final energy is -0.294 Ry per atom. As for the symmetry: No. 15.